Here is a geometry-optimized Y2NiWSe structure from Alexandria. Energies are from PBE.

Unit cell a=5.363 b=4.229 c=5.363 alpha=90.00 beta=90.00 gamma=90.00
Positions (direct):
Y (0.000, 0.000, 0.500)
Y (0.500, 0.000, 0.000)
Ni (0.000, 0.500, 0.000)
Se (0.000, 0.000, 0.000)
W (0.500, 0.500, 0.500)

Computed properties:
VASP energy = -6.629 eV per atom
ρ = 6.82 Mg/m³
formation energy without anion corrections = 0.40 eV/atom

***

Here is a geometry-optimized OsAu8 structure from Alexandria. Energies are from PBE.

Unit cell a=7.635 b=7.635 c=7.635 alpha=91.99 beta=91.99 gamma=158.54
Positions (direct):
Os (0.000, 0.000, 0.000)
Au (0.334, 0.000, 0.334)
Au (0.666, 0.000, 0.666)
Au (0.000, 0.666, 0.666)
Au (0.337, 0.663, 0.000)
Au (0.663, 0.663, 0.325)
Au (0.000, 0.334, 0.334)
Au (0.337, 0.337, 0.675)
Au (0.663, 0.337, 0.000)

Computed properties:
VASP energy = -3.906 eV per atom
ρ = 18.32 Mg/m³
energy of formation from the pure elements = 0.26 eV/atom

***

Here is a geometry-optimized Cd2Ga2Ag structure from Alexandria. Energies are from PBE.

Unit cell a=6.959 b=6.959 c=4.269 alpha=90.00 beta=90.00 gamma=90.00
Positions (direct):
Ga (0.366, 0.866, 0.000)
Ga (0.866, 0.634, 0.000)
Ga (0.634, 0.134, 0.000)
Ga (0.134, 0.366, 0.000)
Ag (0.000, 0.000, 0.000)
Ag (0.500, 0.500, 0.000)
Cd (0.176, 0.676, 0.500)
Cd (0.676, 0.824, 0.500)
Cd (0.824, 0.324, 0.500)
Cd (0.324, 0.176, 0.500)

Computed properties:
VASP energy = -2.082 eV per atom
ρ = 7.58 Mg/m³
energy of formation from the pure elements = 0.07 eV/atom

***

Here is a geometry-optimized MnZnPt2 structure from Alexandria. Energies are from PBE.

Unit cell a=3.890 b=3.890 c=9.205 alpha=77.80 beta=77.80 gamma=90.00
Positions (direct):
Zn (0.000, 0.000, 0.000)
Zn (0.750, 0.250, 0.500)
Mn (0.500, 0.500, 0.000)
Mn (0.250, 0.750, 0.500)
Pt (0.628, 0.125, 0.250)
Pt (0.122, 0.625, 0.250)
Pt (0.375, 0.372, 0.750)
Pt (0.875, 0.878, 0.750)

Computed properties:
VASP energy = -5.654 eV per atom
ρ = 12.75 Mg/m³
energy of formation from the pure elements = -0.02 eV/atom

***

Here is a geometry-optimized PtRhNO2 structure from Alexandria. Energies are from PBE.

Unit cell a=4.023 b=4.023 c=3.718 alpha=90.00 beta=90.00 gamma=90.00
Positions (direct):
Rh (0.000, 0.000, 0.000)
O (0.000, 0.500, 0.000)
O (0.500, 0.000, 0.000)
Pt (0.500, 0.500, 0.500)
N (0.000, 0.000, 0.500)

Computed properties:
VASP energy = -5.425 eV per atom
ρ = 9.49 Mg/m³
formation energy without anion corrections = 0.90 eV/atom

***

Here is a geometry-optimized Cs2NaPaO4 structure from Alexandria. Energies are from PBE.

Unit cell a=3.686 b=6.328 c=7.197 alpha=108.19 beta=90.00 gamma=90.00
Positions (direct):
Cs (0.500, 0.000, 0.500)
Cs (0.000, 0.500, 0.500)
Na (0.000, 0.000, 0.000)
Pa (0.500, 0.500, 0.000)
O (0.500, 0.286, 0.165)
O (0.500, 0.714, 0.835)
O (0.000, 0.309, 0.828)
O (0.000, 0.691, 0.172)

Computed properties:
VASP energy = -6.417 eV per atom
ρ = 6.08 Mg/m³
formation energy without anion corrections = -2.37 eV/atom

***

Here is a geometry-optimized NaAuOF2 structure from Alexandria. Energies are from PBE.

Unit cell a=4.565 b=4.565 c=3.902 alpha=90.00 beta=90.00 gamma=90.00
Positions (direct):
Na (0.500, 0.500, 0.500)
Au (0.000, 0.000, 0.000)
O (0.000, 0.000, 0.500)
F (0.000, 0.500, 0.000)
F (0.500, 0.000, 0.000)

Computed properties:
VASP energy = -3.704 eV per atom
ρ = 5.59 Mg/m³
formation energy without anion corrections = -1.04 eV/atom

***

Here is a geometry-optimized BaGa2Rh2 structure from Alexandria. Energies are from PBE.

Unit cell a=7.843 b=7.843 c=3.050 alpha=90.00 beta=90.00 gamma=90.00
Positions (direct):
Rh (0.355, 0.855, 0.000)
Rh (0.855, 0.645, 0.000)
Rh (0.645, 0.145, 0.000)
Rh (0.145, 0.355, 0.000)
Ba (0.000, 0.000, 0.000)
Ba (0.500, 0.500, 0.000)
Ga (0.134, 0.634, 0.500)
Ga (0.634, 0.866, 0.500)
Ga (0.866, 0.366, 0.500)
Ga (0.366, 0.134, 0.500)

Computed properties:
VASP energy = -4.912 eV per atom
ρ = 8.54 Mg/m³
energy of formation from the pure elements = -0.38 eV/atom

***

Here is a geometry-optimized AlTc4Se structure from Alexandria. Energies are from PBE.

Unit cell a=5.165 b=5.165 c=5.165 alpha=60.00 beta=60.00 gamma=60.00
Positions (direct):
Al (0.750, 0.750, 0.750)
Tc (0.878, 0.374, 0.374)
Tc (0.374, 0.374, 0.878)
Tc (0.374, 0.878, 0.374)
Tc (0.374, 0.374, 0.374)
Se (0.000, 0.000, 0.000)

Computed properties:
VASP energy = -7.656 eV per atom
ρ = 8.49 Mg/m³
formation energy without anion corrections = 0.46 eV/atom

***

Here is a geometry-optimized SiBF3 structure from Alexandria. Energies are from PBE.

Unit cell a=4.071 b=4.071 c=4.071 alpha=90.00 beta=90.00 gamma=90.00
Positions (direct):
Si (0.000, 0.000, 0.000)
B (0.500, 0.500, 0.500)
F (0.000, 0.500, 0.000)
F (0.000, 0.000, 0.500)
F (0.500, 0.000, 0.000)

Computed properties:
VASP energy = -4.138 eV per atom
ρ = 2.36 Mg/m³
formation energy without anion corrections = -0.59 eV/atom

***

Here is a geometry-optimized Zn2InAg5 structure from Alexandria. Energies are from PBE.

Unit cell a=8.156 b=8.181 c=8.468 alpha=90.00 beta=90.00 gamma=90.00
Positions (direct):
Zn (0.000, 0.000, 0.758)
Zn (0.000, 0.000, 0.242)
Zn (0.000, 0.500, 0.258)
Zn (0.000, 0.500, 0.742)
Zn (0.756, 0.000, 0.500)
Zn (0.244, 0.500, 0.000)
Zn (0.244, 0.000, 0.500)
Zn (0.756, 0.500, 0.000)
In (0.500, 0.500, 0.738)
In (0.500, 0.500, 0.262)
In (0.500, 0.000, 0.238)
In (0.500, 0.000, 0.762)
Ag (0.761, 0.250, 0.750)
Ag (0.761, 0.750, 0.250)
Ag (0.239, 0.250, 0.250)
Ag (0.239, 0.750, 0.750)
Ag (0.239, 0.750, 0.250)
Ag (0.239, 0.250, 0.750)
Ag (0.761, 0.750, 0.750)
Ag (0.761, 0.250, 0.250)
Ag (0.500, 0.264, 0.000)
Ag (0.500, 0.736, 0.000)
Ag (0.500, 0.236, 0.500)
Ag (0.500, 0.764, 0.500)
Ag (0.000, 0.271, 0.000)
Ag (0.000, 0.729, 0.000)
Ag (0.000, 0.229, 0.500)
Ag (0.000, 0.771, 0.500)
Ag (0.766, 0.000, 0.000)
Ag (0.234, 0.500, 0.500)
Ag (0.234, 0.000, 0.000)
Ag (0.766, 0.500, 0.500)

Computed properties:
VASP energy = -2.455 eV per atom
ρ = 9.23 Mg/m³
energy of formation from the pure elements = -0.01 eV/atom

***

Here is a geometry-optimized Ac4DyP5 structure from Alexandria. Energies are from PBE.

Unit cell a=4.384 b=4.384 c=15.729 alpha=98.01 beta=98.01 gamma=90.00
Positions (direct):
Ac (0.403, 0.403, 0.806)
Ac (0.801, 0.801, 0.603)
Ac (0.199, 0.199, 0.397)
Ac (0.597, 0.597, 0.194)
Dy (0.000, 0.000, 0.000)
P (0.094, 0.094, 0.188)
P (0.500, 0.500, 0.000)
P (0.906, 0.906, 0.812)
P (0.301, 0.301, 0.601)
P (0.699, 0.699, 0.399)

Computed properties:
VASP energy = -6.247 eV per atom
ρ = 6.86 Mg/m³
energy of formation from the pure elements = -1.44 eV/atom

***

Q: What is the VASP energy in the first record?
A: -6.629 eV per atom

***

Q: Which of these has the lowest VASP energy?
A: AlTc4Se

***

Q: Look up the ρ of the first one.
A: 6.82 Mg/m³

***

Repeat the tenth record exactly.
Here is a geometry-optimized SiBF3 structure from Alexandria. Energies are from PBE.

Unit cell a=4.071 b=4.071 c=4.071 alpha=90.00 beta=90.00 gamma=90.00
Positions (direct):
Si (0.000, 0.000, 0.000)
B (0.500, 0.500, 0.500)
F (0.000, 0.500, 0.000)
F (0.000, 0.000, 0.500)
F (0.500, 0.000, 0.000)

Computed properties:
VASP energy = -4.138 eV per atom
ρ = 2.36 Mg/m³
formation energy without anion corrections = -0.59 eV/atom